[1]
First-principles (GGA-PBE) data for a relaxed Na3PPd crystal, as listed in Alexandria. Values from VASP.

Quantum ESPRESSO input file:
```
&SYSTEM
  ibrav = 0, nat = 10, ntyp = 3
/
ATOMIC_SPECIES
Na 22.99 Na.upf
P 30.97 P.upf
Pd 106.42 Pd.upf
ATOMIC_POSITIONS crystal
Na 0.830 0.944 0.227
Na 0.283 0.397 0.227
Na 0.717 0.603 0.773
Na 0.800 0.394 0.194
Na 0.170 0.056 0.773
Na 0.200 0.606 0.806
P 0.647 0.758 0.405
P 0.353 0.242 0.595
Pd 0.731 0.034 0.765
Pd 0.269 0.966 0.235
CELL_PARAMETERS angstrom
6.438 1.405 -0.900
-0.410 6.577 0.900
-3.866 -3.348 5.513
```

***

[2]
First-principles (GGA-PBE) data for a relaxed Na6P2Pd crystal, as listed in Alexandria. Values from VASP.

Quantum ESPRESSO input file:
```
&SYSTEM
  ibrav = 0, nat = 9, ntyp = 3
/
ATOMIC_SPECIES
Na 22.99 Na.upf
P 30.97 P.upf
Pd 106.42 Pd.upf
ATOMIC_POSITIONS crystal
Na 0.581 0.581 0.257
Na 0.809 0.809 0.574
Na 0.701 0.701 0.897
Na 0.191 0.191 0.426
Na 0.419 0.419 0.743
Na 0.299 0.299 0.103
P 0.913 0.913 0.262
P 0.087 0.087 0.738
Pd 0.000 0.000 0.000
CELL_PARAMETERS angstrom
-0.359 -4.645 -1.766
1.187 -3.869 2.906
-8.415 -3.288 3.332
```

***

[3]
First-principles (GGA-PBE) data for a relaxed NaP2Pd4 crystal, as listed in Alexandria. Values from VASP.

Quantum ESPRESSO input file:
```
&SYSTEM
  ibrav = 0, nat = 14, ntyp = 3
/
ATOMIC_SPECIES
Na 22.99 Na.upf
P 30.97 P.upf
Pd 106.42 Pd.upf
ATOMIC_POSITIONS crystal
Na 0.500 0.000 0.000
Na 0.000 0.500 0.500
P 0.000 0.236 0.764
P 0.000 0.764 0.236
P 0.500 0.736 0.736
P 0.500 0.264 0.264
Pd 0.000 0.067 0.315
Pd 0.000 0.933 0.685
Pd 0.500 0.185 0.567
Pd 0.500 0.815 0.433
Pd 0.500 0.433 0.815
Pd 0.500 0.567 0.185
Pd 0.000 0.315 0.067
Pd 0.000 0.685 0.933
CELL_PARAMETERS angstrom
3.595 0.000 0.000
0.000 7.921 0.000
0.000 0.000 7.921
```

***

[4]
First-principles (GGA-PBE) data for a relaxed NaP3Pd7 crystal, as listed in Alexandria. Values from VASP.

Quantum ESPRESSO input file:
```
&SYSTEM
  ibrav = 0, nat = 22, ntyp = 3
/
ATOMIC_SPECIES
Na 22.99 Na.upf
P 30.97 P.upf
Pd 106.42 Pd.upf
ATOMIC_POSITIONS crystal
Na 0.500 0.500 0.500
Na 0.000 0.000 0.000
P 0.426 0.074 0.750
P 0.074 0.750 0.750
P 0.750 0.426 0.750
P 0.574 0.926 0.250
P 0.926 0.250 0.250
P 0.250 0.574 0.250
Pd 0.647 0.097 0.423
Pd 0.097 0.833 0.423
Pd 0.833 0.647 0.423
Pd 0.853 0.667 0.077
Pd 0.403 0.853 0.077
Pd 0.667 0.403 0.077
Pd 0.353 0.903 0.577
Pd 0.903 0.167 0.577
Pd 0.167 0.353 0.577
Pd 0.147 0.333 0.923
Pd 0.597 0.147 0.923
Pd 0.333 0.597 0.923
Pd 0.750 0.750 0.750
Pd 0.250 0.250 0.250
CELL_PARAMETERS angstrom
6.573 0.000 3.540
2.333 6.145 3.540
-0.196 -0.135 8.236
```

***

[5]
First-principles (GGA-PBE) data for a relaxed Na2P2Pd crystal, as listed in Alexandria. Values from VASP.

Quantum ESPRESSO input file:
```
&SYSTEM
  ibrav = 0, nat = 10, ntyp = 3
/
ATOMIC_SPECIES
P 30.97 P.upf
Pd 106.42 Pd.upf
Na 22.99 Na.upf
ATOMIC_POSITIONS crystal
P 0.370 0.870 0.000
P 0.870 0.630 0.000
P 0.630 0.130 0.000
P 0.130 0.370 0.000
Pd 0.000 0.000 0.000
Pd 0.500 0.500 0.000
Na 0.177 0.677 0.500
Na 0.677 0.823 0.500
Na 0.823 0.323 0.500
Na 0.323 0.177 0.500
CELL_PARAMETERS angstrom
6.167 0.000 0.000
0.000 6.167 0.000
0.000 0.000 4.755
```

***

[6]
First-principles (GGA-PBE) data for a relaxed NaPPd crystal, as listed in Alexandria. Values from VASP.

Quantum ESPRESSO input file:
```
&SYSTEM
  ibrav = 0, nat = 6, ntyp = 3
/
ATOMIC_SPECIES
P 30.97 P.upf
Na 22.99 Na.upf
Pd 106.42 Pd.upf
ATOMIC_POSITIONS crystal
P 0.086 0.660 0.172
P 0.914 0.340 0.828
Na 0.352 0.130 0.704
Na 0.648 0.870 0.296
Pd 0.831 0.684 0.662
Pd 0.169 0.316 0.338
CELL_PARAMETERS angstrom
5.335 0.000 0.000
0.000 4.040 -0.564
-2.667 -2.868 6.648
```

***

[7]
First-principles (GGA-PBE) data for a relaxed NaPPd2 crystal, as listed in Alexandria. Values from VASP.

Quantum ESPRESSO input file:
```
&SYSTEM
  ibrav = 0, nat = 8, ntyp = 3
/
ATOMIC_SPECIES
Na 22.99 Na.upf
P 30.97 P.upf
Pd 106.42 Pd.upf
ATOMIC_POSITIONS crystal
Na 0.518 0.061 0.342
Na 0.018 0.561 0.842
P 0.268 0.066 0.848
P 0.768 0.056 0.837
Pd 0.067 0.292 0.467
Pd 0.968 0.830 0.218
Pd 0.567 0.437 0.611
Pd 0.468 0.686 0.074
CELL_PARAMETERS angstrom
-3.729 3.815 -0.827
-2.488 -2.051 4.486
1.051 2.644 4.741
```

***

[8]
First-principles (GGA-PBE) data for a relaxed NaPPd crystal, as listed in Alexandria. Values from VASP.

Quantum ESPRESSO input file:
```
&SYSTEM
  ibrav = 0, nat = 12, ntyp = 3
/
ATOMIC_SPECIES
Na 22.99 Na.upf
P 30.97 P.upf
Pd 106.42 Pd.upf
ATOMIC_POSITIONS crystal
Na 0.250 0.506 0.164
Na 0.750 0.494 0.836
Na 0.250 0.006 0.336
Na 0.750 0.994 0.664
P 0.750 0.699 0.381
P 0.750 0.199 0.119
P 0.250 0.801 0.881
P 0.250 0.301 0.619
Pd 0.250 0.141 0.935
Pd 0.750 0.359 0.435
Pd 0.750 0.859 0.065
Pd 0.250 0.641 0.565
CELL_PARAMETERS angstrom
4.159 0.000 0.000
0.000 7.021 0.000
0.000 0.000 7.078
```

***

[9]
First-principles (GGA-PBE) data for a relaxed Na3P2Pd3 crystal, as listed in Alexandria. Values from VASP.

Quantum ESPRESSO input file:
```
&SYSTEM
  ibrav = 0, nat = 16, ntyp = 3
/
ATOMIC_SPECIES
Na 22.99 Na.upf
P 30.97 P.upf
Pd 106.42 Pd.upf
ATOMIC_POSITIONS crystal
Na 0.946 0.892 0.387
Na 0.054 0.108 0.887
Na 0.946 0.892 0.113
Na 0.054 0.108 0.613
Na 0.619 0.238 0.250
Na 0.381 0.762 0.750
P 0.776 0.552 0.893
P 0.224 0.448 0.393
P 0.776 0.552 0.607
P 0.224 0.448 0.107
Pd 0.695 0.390 0.455
Pd 0.305 0.610 0.955
Pd 0.695 0.390 0.045
Pd 0.305 0.610 0.545
Pd 0.310 0.619 0.250
Pd 0.690 0.381 0.750
CELL_PARAMETERS angstrom
4.320 0.000 0.000
-2.160 5.247 0.000
0.000 0.000 14.703
```

***

[10]
First-principles (GGA-PBE) data for a relaxed Na2P6Pd21 crystal, as listed in Alexandria. Values from VASP.

Quantum ESPRESSO input file:
```
&SYSTEM
  ibrav = 0, nat = 29, ntyp = 3
/
ATOMIC_SPECIES
Na 22.99 Na.upf
P 30.97 P.upf
Pd 106.42 Pd.upf
ATOMIC_POSITIONS crystal
Na 0.750 0.750 0.750
Na 0.250 0.250 0.250
P 0.264 0.736 0.264
P 0.736 0.264 0.264
P 0.736 0.736 0.264
P 0.736 0.264 0.736
P 0.264 0.736 0.736
P 0.264 0.264 0.736
Pd 0.000 0.000 0.000
Pd 0.615 0.615 0.154
Pd 0.615 0.615 0.615
Pd 0.615 0.154 0.615
Pd 0.154 0.615 0.615
Pd 0.385 0.385 0.846
Pd 0.385 0.385 0.385
Pd 0.385 0.846 0.385
Pd 0.846 0.385 0.385
Pd 0.657 0.000 0.343
Pd 0.000 0.657 0.343
Pd 0.000 0.000 0.343
Pd 0.000 0.657 0.000
Pd 0.657 0.000 0.000
Pd 0.000 0.000 0.657
Pd 0.000 0.343 0.000
Pd 0.000 0.343 0.657
Pd 0.657 0.343 0.000
Pd 0.343 0.000 0.657
Pd 0.343 0.000 0.000
Pd 0.343 0.657 0.000
CELL_PARAMETERS angstrom
-1.346 3.872 7.544
-7.953 0.535 3.192
-2.186 -4.647 6.881
```

***

[11]
First-principles (GGA-PBE) data for a relaxed NaPPd2 crystal, as listed in Alexandria. Values from VASP.

Quantum ESPRESSO input file:
```
&SYSTEM
  ibrav = 0, nat = 8, ntyp = 3
/
ATOMIC_SPECIES
P 30.97 P.upf
Pd 106.42 Pd.upf
Na 22.99 Na.upf
ATOMIC_POSITIONS crystal
P 0.000 0.000 0.000
P 0.750 0.250 0.500
Pd 0.721 0.125 0.250
Pd 0.029 0.625 0.250
Pd 0.375 0.279 0.750
Pd 0.875 0.971 0.750
Na 0.500 0.500 0.000
Na 0.250 0.750 0.500
CELL_PARAMETERS angstrom
7.347 0.000 0.000
0.000 7.347 0.000
3.674 3.674 2.854
```

***

[12]
First-principles (GGA-PBE) data for a relaxed NaP2Pd crystal, as listed in Alexandria. Values from VASP.

Quantum ESPRESSO input file:
```
&SYSTEM
  ibrav = 0, nat = 4, ntyp = 3
/
ATOMIC_SPECIES
Na 22.99 Na.upf
P 30.97 P.upf
Pd 106.42 Pd.upf
ATOMIC_POSITIONS crystal
Na 0.500 0.500 0.500
P 0.737 0.000 0.866
P 0.263 0.000 0.134
Pd 0.000 0.500 0.000
CELL_PARAMETERS angstrom
-1.530 -1.576 -3.069
3.450 0.733 -2.096
1.784 -4.796 1.260
```

***

no.,DOS(E_F) (states/eV/f.u.),DFT total energy (eV/atom),formation enthalpy at 0 K (eV per atom)
1,1.53,-3.128,-0.2161
2,1.37,-3.018,-0.3591
3,2.84,-5.196,-0.4946
4,5.01,-5.303,-0.4028
5,1.20,-4.202,-0.4721
6,0.73,-4.233,-0.2593
7,1.08,-4.547,-0.2683
8,1.38,-4.412,-0.4385
9,1.74,-4.242,-0.4479
10,11.97,-5.440,-0.4692
11,0.45,-4.526,-0.2471
12,1.02,-4.703,-0.3697